A plane-wave DFT calculation with GGA-PBE was carried out for LiMg2Zr after structural relaxation.

a = 3.1114 Å, b = 3.1114 Å, c = 8.8353 Å
α = 90.00°, β = 90.00°, γ = 90.00°
With the nearest neighbours (Å) after each atom.
Fractional coordinates of all 4 atoms:
1 Zr 0.5000 0.5000 0.2500  4 Zr 3.11, 8 Mg 3.19
2 Li 0.5000 0.5000 0.7500  8 Mg 3.05, 4 Li 3.11
3 Mg 0.0000 0.0000 0.9890  4 Li 3.05, 4 Mg 3.11, 4 Zr 3.19
4 Mg 0.0000 0.0000 0.5110  4 Li 3.05, 4 Mg 3.11, 4 Zr 3.19

Computed properties:
The density of states at the Fermi level comes out at 0.74 states/eV/atom. For the energy of formation, the calculation gives 0 kJ/mol of atoms. As for the size of the total moment: 0.33 Bohr magnetons per cell.